Below is a relaxed TbMg4Ga2 crystal, with properties calculated at the PBE level.

Lattice parameters (Å, degrees): 8.4318 8.4318 4.3139 90.00 90.00 90.00
With the nearest neighbours (Å) after each atom.
Atoms (fractional coordinates):
Tb1 0.0000 0.0000 0.0000  4 Ga 3.15
Tb2 0.5000 0.5000 0.5000  4 Ga 3.15
Mg1 0.0981 0.3381 0.5000  3 Ga 2.74-2.80, 1 Mg 2.86
Mg2 0.1619 0.5981 0.0000  3 Ga 2.74-2.80, 1 Mg 2.86
Mg3 0.3381 0.0981 0.5000  3 Ga 2.74-2.80, 1 Mg 2.86
Mg4 0.4019 0.8381 0.0000  3 Ga 2.74-2.80, 1 Mg 2.86
Mg5 0.5981 0.1619 0.0000  3 Ga 2.74-2.80, 1 Mg 2.86
Mg6 0.6619 0.9019 0.5000  3 Ga 2.74-2.80, 1 Mg 2.86
Mg7 0.8381 0.4019 0.0000  3 Ga 2.74-2.80, 1 Mg 2.86
Mg8 0.9019 0.6619 0.5000  3 Ga 2.74-2.80, 1 Mg 2.86
Ga1 0.1926 0.8074 0.5000  6 Mg 2.74-2.80
Ga2 0.3074 0.3074 0.0000  6 Mg 2.74-2.80
Ga3 0.6926 0.6926 0.0000  6 Mg 2.74-2.80
Ga4 0.8074 0.1926 0.5000  6 Mg 2.74-2.80

## Properties
SG = No. 136
ΔH_f (0 K) = -0.249 eV per atom
magnetization = 0.00 μB per atom
DOS at the Fermi energy = 5.86 states/eV/cell
total energy = -2.686 eV per atom

---

Below is a relaxed Th8Ag2C3 crystal, with properties calculated at the PBE level.

Lattice parameters (Å, degrees): 8.4100 8.4100 6.5075 103.20 103.20 51.76
With the nearest neighbours (Å) after each atom.
Atoms (fractional coordinates):
Th1 0.1018 0.1018 0.8916  3 C 2.56-2.62
Th2 0.1535 0.6600 0.6159  2 C 2.53-2.54
Th3 0.3400 0.8465 0.3841  2 C 2.53-2.54
Th4 0.3966 0.3966 0.0650  2 C 2.57
Th5 0.6034 0.6034 0.9350  2 C 2.57
Th6 0.6600 0.1535 0.6159  2 C 2.53-2.54
Th7 0.8465 0.3400 0.3841  2 C 2.53-2.54
Th8 0.8982 0.8982 0.1084  3 C 2.56-2.62
Ag1 0.2535 0.2535 0.3326  6 Th 3.10-3.19
Ag2 0.7465 0.7465 0.6674  6 Th 3.10-3.19
C1 0.0000 0.0000 0.5000  6 Th 2.53-2.62
C2 0.2402 0.7598 0.0000  6 Th 2.54-2.57
C3 0.7598 0.2402 0.0000  6 Th 2.54-2.57

## Properties
SG = No. 12
ΔH_f (0 K) = -0.068 eV per atom
magnetization = 0.00 μB per atom
DOS at the Fermi energy = 12.83 states/eV/cell
total energy = -7.202 eV per atom

---

Below is a relaxed Th4SnBiSb2 crystal, with properties calculated at the PBE level.

Lattice parameters (Å, degrees): 7.8517 4.5294 7.8729 90.00 109.37 90.00
With the nearest neighbours (Å) after each atom.
Atoms (fractional coordinates):
Th1 0.2439 0.0000 0.2418  3 Sb 3.16-3.22, 1 Sn 3.20, 2 Bi 3.25
Th2 0.2485 0.5000 0.7553  3 Sb 3.16-3.22, 2 Sn 3.20, 1 Bi 3.25
Th3 0.7515 0.5000 0.2447  3 Sb 3.16-3.22, 2 Sn 3.20, 1 Bi 3.25
Th4 0.7561 0.0000 0.7582  3 Sb 3.16-3.22, 1 Sn 3.20, 2 Bi 3.25
Sn1 0.5000 0.0000 0.0000  6 Th 3.20
Bi1 0.5000 0.5000 0.5000  6 Th 3.25
Sb1 0.0000 0.0000 0.5000  6 Th 3.22
Sb2 0.0000 0.5000 0.0000  6 Th 3.16

## Properties
SG = No. 10
magnetization = 0.00 μB per atom
E_form (uncorrected) = -70 kJ per mole of atoms
DOS at the Fermi energy = 5.13 states/eV/cell
total energy = -6.453 eV per atom

---

Below is a relaxed BaInBrF4 crystal, with properties calculated at the PBE level.

Lattice parameters (Å, degrees): 7.0619 7.0619 7.9354 104.05 104.05 67.78
With the nearest neighbours (Å) after each atom.
Atoms (fractional coordinates):
Ba1 0.1002 0.1002 0.2891  6 F 2.56-2.73
Ba2 0.8998 0.8998 0.7109  6 F 2.56-2.73
In1 0.2590 0.2590 0.8493  4 F 2.06-2.13
In2 0.7410 0.7410 0.1507  4 F 2.06-2.13
Br1 0.3948 0.3948 0.1639  1 In 2.54
Br2 0.6052 0.6052 0.8361  1 In 2.54
F1 0.1089 0.1089 0.6239  1 In 2.11
F2 0.1115 0.1115 0.9552  1 In 2.13
F3 0.1145 0.5198 0.7323  1 In 2.06
F4 0.4802 0.8855 0.2677  1 In 2.06
F5 0.5198 0.1145 0.7323  1 In 2.06
F6 0.8855 0.4802 0.2677  1 In 2.06
F7 0.8885 0.8885 0.0448  1 In 2.13
F8 0.8911 0.8911 0.3761  1 In 2.11

## Properties
SG = No. 12
magnetization = 0.00 μB per atom
E_form (uncorrected) = -265 kJ per mole of atoms
DOS at the Fermi energy = 0.00 states/eV/cell
total energy = -4.716 eV per atom

---

Below is a relaxed Na2BeRh2 crystal, with properties calculated at the PBE level.

Lattice parameters (Å, degrees): 5.8110 5.8110 4.9879 90.00 90.00 90.00
With the nearest neighbours (Å) after each atom.
Atoms (fractional coordinates):
Na1 0.1726 0.3274 0.0000  5 Na 2.84-3.04, 6 Rh 2.87-3.14
Na2 0.3274 0.8274 0.0000  5 Na 2.84-3.04, 6 Rh 2.87-3.14
Na3 0.6726 0.1726 0.0000  5 Na 2.84-3.04, 6 Rh 2.87-3.14
Na4 0.8274 0.6726 0.0000  5 Na 2.84-3.04, 6 Rh 2.87-3.14
Be1 0.0000 0.0000 0.5000  4 Rh 2.20
Be2 0.5000 0.5000 0.5000  4 Rh 2.20
Rh1 0.1556 0.6556 0.5000  2 Be 2.20
Rh2 0.3444 0.1556 0.5000  2 Be 2.20
Rh3 0.6556 0.8444 0.5000  2 Be 2.20
Rh4 0.8444 0.3444 0.5000  2 Be 2.20

## Properties
SG = No. 127
ΔH_f (0 K) = 0.124 eV per atom
magnetization = 0.00 μB per atom
DOS at the Fermi energy = 0.23 states/eV/cell
total energy = -4.090 eV per atom

---

Below is a relaxed BeSnAu2 crystal, with properties calculated at the PBE level.

Lattice parameters (Å, degrees): 4.1170 4.1170 9.4888 101.16 101.16 91.07
With the nearest neighbours (Å) after each atom.
Atoms (fractional coordinates):
Be1 0.2061 0.2061 0.3674  5 Au 2.31-2.42
Be2 0.7939 0.7939 0.6326  5 Au 2.31-2.42
Sn1 0.2657 0.2657 0.8173  1 Be 2.80, 5 Au 2.90-3.02
Sn2 0.7343 0.7343 0.1827  1 Be 2.80, 5 Au 2.90-3.02
Au1 0.2138 0.2138 0.1256  1 Be 2.31
Au2 0.2439 0.7561 0.5000  4 Be 2.35-2.42
Au3 0.7561 0.2439 0.5000  4 Be 2.35-2.42
Au4 0.7862 0.7862 0.8744  1 Be 2.31

## Properties
SG = No. 12
ΔH_f (0 K) = -0.027 eV per atom
magnetization = 0.00 μB per atom
DOS at the Fermi energy = 2.56 states/eV/cell
total energy = -3.598 eV per atom

---

Below is a relaxed MnAg2Br5 crystal, with properties calculated at the PBE level.

Lattice parameters (Å, degrees): 7.1746 7.1746 12.5907 90.00 90.00 131.60
With the nearest neighbours (Å) after each atom.
Atoms (fractional coordinates):
Mn1 0.2180 0.7820 0.7500  4 Br 2.46-2.47
Mn2 0.7820 0.2180 0.2500  4 Br 2.46-2.47
Ag1 0.1370 0.8630 0.0926  5 Br 2.69-2.95
Ag2 0.1370 0.8630 0.4074  5 Br 2.69-2.95
Ag3 0.8630 0.1370 0.5926  5 Br 2.69-2.95
Ag4 0.8630 0.1370 0.9074  5 Br 2.69-2.95
Br1 0.0807 0.9193 0.6150  1 Mn 2.47, 1 Ag 2.72
Br2 0.0807 0.9193 0.8850  1 Mn 2.47, 1 Ag 2.72
Br3 0.2759 0.7241 0.2500  2 Ag 2.69, 2 Mn 2.94
Br4 0.3476 0.6524 0.6087  1 Mn 2.46
Br5 0.3476 0.6524 0.8913  1 Mn 2.46
Br6 0.6524 0.3476 0.1087  1 Mn 2.46
Br7 0.6524 0.3476 0.3913  1 Mn 2.46
Br8 0.7241 0.2759 0.7500  2 Ag 2.69, 2 Mn 2.94
Br9 0.9193 0.0807 0.1150  1 Mn 2.47, 1 Ag 2.72
Br10 0.9193 0.0807 0.3850  1 Mn 2.47, 1 Ag 2.72

## Properties
SG = No. 63
magnetization = 0.50 μB per atom
E_form (uncorrected) = -45 kJ per mole of atoms
DOS at the Fermi energy = 3.84 states/eV/cell
total energy = -3.367 eV per atom

---

Below is a relaxed SrSm3Fe crystal, with properties calculated at the PBE level.

Lattice parameters (Å, degrees): 5.4851 5.4851 5.4851 90.00 90.00 90.00
With the nearest neighbours (Å) after each atom.
Atoms (fractional coordinates):
Sr1 0.0000 0.0000 0.0000  12 Sm 3.88
Sm1 0.0000 0.5000 0.5000  2 Fe 2.74
Sm2 0.5000 0.0000 0.5000  2 Fe 2.74
Sm3 0.5000 0.5000 0.0000  2 Fe 2.74
Fe1 0.5000 0.5000 0.5000  6 Sm 2.74

## Properties
SG = No. 221
ΔH_f (0 K) = 0.122 eV per atom
magnetization = 0.00 μB per atom
DOS at the Fermi energy = 3.93 states/eV/cell
total energy = -4.739 eV per atom

---

Below is a relaxed LaSiAg3 crystal, with properties calculated at the PBE level.

Lattice parameters (Å, degrees): 5.5742 5.5742 5.5742 90.00 90.00 90.00
With the nearest neighbours (Å) after each atom.
Atoms (fractional coordinates):
La1 0.0000 0.0000 0.0000  6 Ag 2.79
Si1 0.5000 0.5000 0.5000  12 Ag 3.94
Ag1 0.0000 0.0000 0.5000  2 La 2.79
Ag2 0.0000 0.5000 0.0000  2 La 2.79
Ag3 0.5000 0.0000 0.0000  2 La 2.79

## Properties
SG = No. 221
magnetization = 0.00 μB per atom
E_form (uncorrected) = 131 kJ per mole of atoms
DOS at the Fermi energy = 6.97 states/eV/cell
total energy = -2.426 eV per atom